1.
Material: ScPaSeN2
Method: DFT, GGA-PBE
State: relaxed

N(E_F): 0.00 states/eV per cell
Magnetization: 0.0 Bohr magnetons per cell
SG: P2_1/m (11)
Formation energy without anion corrections: -1.75 eV/atom

a b c (Å): 4.022 6.914 7.659
angles (deg): 116.16 90.00 90.00
Positions (direct):
1 Sc 0.250 0.639 0.442
2 Sc 0.750 0.361 0.558
3 Pa 0.250 0.672 0.935
4 Pa 0.750 0.328 0.065
5 Se 0.250 0.011 0.777
6 Se 0.750 0.989 0.223
7 N 0.750 0.512 0.375
8 N 0.250 0.488 0.625
9 N 0.750 0.508 0.882
10 N 0.250 0.492 0.118

2.
Material: ScPaSe2N
Method: DFT, GGA-PBE
State: relaxed

N(E_F): 6.23 states/eV per cell
Magnetization: 0.4 Bohr magnetons per cell
SG: P4/nmm (129)
Formation energy without anion corrections: -1.76 eV/atom

a b c (Å): 3.843 3.843 13.584
angles (deg): 90.00 90.00 90.00
Each line ends with the local moment (μB).
Positions (direct):
1 Sc 0.500 0.000 0.095  0.00
2 Sc 0.000 0.500 0.905  0.00
3 Pa 0.500 0.000 0.591  0.19
4 Pa 0.000 0.500 0.409  0.19
5 Se 0.000 0.500 0.700  -0.01
6 Se 0.000 0.500 0.107  0.00
7 Se 0.500 0.000 0.893  0.00
8 Se 0.500 0.000 0.300  -0.01
9 N 0.000 0.000 0.500  -0.01
10 N 0.500 0.500 0.500  -0.01

3.
Material: Sm3ScPa3N8
Method: DFT, GGA-PBE
State: relaxed

N(E_F): 4.77 states/eV per cell
Magnetization: 0.0 Bohr magnetons per cell
SG: R-3m (166)
Formation energy without anion corrections: -1.52 eV/atom

a b c (Å): 6.945 6.945 6.991
angles (deg): 119.78 90.00 120.00
Positions (direct):
1 Sm 0.000 0.000 0.000
2 Sm 0.000 0.500 0.000
3 Sm 0.500 0.500 0.000
4 Sc 0.000 0.000 0.500
5 Pa 0.500 0.000 0.500
6 Pa 0.500 0.500 0.500
7 Pa 0.000 0.500 0.500
8 N 0.257 0.513 0.270
9 N 0.743 0.487 0.730
10 N 0.769 0.539 0.295
11 N 0.231 0.461 0.705
12 N 0.769 0.026 0.295
13 N 0.231 0.974 0.705
14 N 0.256 0.026 0.295
15 N 0.744 0.974 0.705

4.
Material: Sm2ScPaN4
Method: DFT, GGA-PBE
State: relaxed

N(E_F): 3.32 states/eV per cell
Magnetization: 0.0 Bohr magnetons per cell
SG: P2/m (10)
Formation energy without anion corrections: -1.63 eV/atom

a b c (Å): 3.493 6.049 5.928
angles (deg): 71.19 90.00 90.00
Positions (direct):
1 Sm 0.000 0.000 0.000
2 Sm 0.500 0.000 0.500
3 Sc 0.500 0.500 0.000
4 Pa 0.000 0.500 0.500
5 N 0.000 0.721 0.755
6 N 0.000 0.279 0.245
7 N 0.500 0.722 0.255
8 N 0.500 0.278 0.745

5.
Material: ScPa2SnN5
Method: DFT, GGA-PBE
State: relaxed

N(E_F): 13.26 states/eV per cell
Magnetization: 1.3 Bohr magnetons per cell
SG: Cmc2_1 (36)
Formation energy without anion corrections: -1.05 eV/atom

a b c (Å): 3.403 6.981 10.443
angles (deg): 90.00 90.00 104.11
Each line ends with the local moment (μB).
Positions (direct):
1 Sc 0.781 0.562 0.500  0.03
2 Sc 0.219 0.438 0.000  0.03
3 Pa 0.856 0.711 0.782  0.24
4 Pa 0.117 0.234 0.691  0.27
5 Pa 0.144 0.289 0.282  0.24
6 Pa 0.883 0.766 0.191  0.27
7 Sn 0.528 0.056 0.967  0.01
8 Sn 0.472 0.944 0.467  0.01
9 N 0.372 0.745 0.024  -0.01
10 N 0.692 0.385 0.857  -0.01
11 N 0.487 0.975 0.773  -0.01
12 N 0.280 0.560 0.657  -0.01
13 N 0.940 0.880 0.573  0.01
14 N 0.628 0.255 0.524  -0.01
15 N 0.308 0.615 0.357  -0.01
16 N 0.513 0.025 0.273  -0.01
17 N 0.720 0.440 0.157  -0.01
18 N 0.060 0.120 0.073  0.01

6.
Material: Sr4ScPa3N8
Method: DFT, GGA-PBE
State: relaxed

N(E_F): 7.77 states/eV per cell
Magnetization: 0.0 Bohr magnetons per cell
SG: R-3m (166)
Formation energy without anion corrections: -1.36 eV/atom

a b c (Å): 7.121 7.260 7.121
angles (deg): 119.37 120.00 90.00
Positions (direct):
1 Sr 0.500 0.000 0.000
2 Sr 0.500 0.000 0.500
3 Sr 0.000 0.000 0.000
4 Sr 0.000 0.000 0.500
5 Sc 0.000 0.500 0.000
6 Pa 0.500 0.500 0.000
7 Pa 0.500 0.500 0.500
8 Pa 0.000 0.500 0.500
9 N 0.235 0.695 0.960
10 N 0.235 0.695 0.470
11 N 0.268 0.303 0.535
12 N 0.725 0.695 0.960
13 N 0.275 0.305 0.040
14 N 0.732 0.697 0.465
15 N 0.765 0.305 0.530
16 N 0.765 0.305 0.040

7.
Material: Sr3ScPa3N8
Method: DFT, GGA-PBE
State: relaxed

Magnetization: 0.0 Bohr magnetons per cell
SG: R-3m (166)
Formation energy without anion corrections: -1.37 eV/atom

a b c (Å): 7.050 7.050 7.245
angles (deg): 119.12 90.00 120.00
Positions (direct):
1 Sr 0.000 0.000 0.000
2 Sr 0.000 0.500 0.000
3 Sr 0.500 0.500 0.000
4 Sc 0.000 0.000 0.500
5 Pa 0.500 0.000 0.500
6 Pa 0.500 0.500 0.500
7 Pa 0.000 0.500 0.500
8 N 0.264 0.528 0.292
9 N 0.736 0.472 0.708
10 N 0.773 0.546 0.319
11 N 0.227 0.454 0.681
12 N 0.773 0.045 0.319
13 N 0.227 0.955 0.681
14 N 0.272 0.045 0.319
15 N 0.728 0.955 0.681

8.
Material: Sr3ScPa2N6
Method: DFT, GGA-PBE
State: relaxed

N(E_F): 4.24 states/eV per cell
Magnetization: 0.0 Bohr magnetons per cell
SG: C2/m (12)
Formation energy without anion corrections: -1.38 eV/atom

a b c (Å): 6.131 6.131 6.315
angles (deg): 99.27 99.27 120.00
Positions (direct):
1 Sr 0.163 0.837 0.500
2 Sr 0.837 0.163 0.500
3 Sr 0.500 0.500 0.500
4 Sc 0.000 0.000 0.000
5 Pa 0.333 0.667 0.000
6 Pa 0.667 0.333 0.000
7 N 0.934 0.595 0.802
8 N 0.727 0.727 0.197
9 N 0.066 0.405 0.198
10 N 0.595 0.934 0.802
11 N 0.273 0.273 0.803
12 N 0.405 0.066 0.198

9.
Material: SrScPaN3
Method: DFT, GGA-PBE
State: relaxed

N(E_F): 3.90 states/eV per cell
Magnetization: 0.4 Bohr magnetons per cell
SG: P2_1/m (11)
Formation energy without anion corrections: -1.27 eV/atom

a b c (Å): 3.400 6.808 9.999
angles (deg): 90.71 90.00 90.00
Each line ends with the local moment (μB).
Positions (direct):
1 Sr 0.750 0.835 0.769  0.00
2 Sr 0.250 0.165 0.231  0.00
3 Sc 0.250 0.160 0.561  0.01
4 Sc 0.750 0.840 0.439  0.01
5 Pa 0.250 0.663 0.117  0.13
6 Pa 0.750 0.337 0.883  0.13
7 N 0.250 0.847 0.560  0.00
8 N 0.750 0.821 0.220  -0.01
9 N 0.750 0.428 0.103  -0.01
10 N 0.750 0.153 0.440  0.00
11 N 0.250 0.572 0.897  -0.01
12 N 0.250 0.179 0.780  -0.01

10.
Material: Sr2ScPaN4
Method: DFT, GGA-PBE
State: relaxed

Magnetization: 0.0 Bohr magnetons per cell
SG: P2/m (10)
Formation energy without anion corrections: -1.36 eV/atom

a b c (Å): 3.569 6.275 5.976
angles (deg): 71.87 90.00 90.00
Positions (direct):
1 Sr 0.000 0.000 0.000
2 Sr 0.500 0.000 0.500
3 Sc 0.000 0.500 0.500
4 Pa 0.500 0.500 0.000
5 N 0.000 0.701 0.766
6 N 0.000 0.299 0.234
7 N 0.500 0.702 0.256
8 N 0.500 0.298 0.744

11.
Material: ScPaTaN3
Method: DFT, GGA-PBE
State: relaxed

N(E_F): 4.61 states/eV per cell
Magnetization: 0.0 Bohr magnetons per cell
SG: P2_1/m (11)
Formation energy without anion corrections: -1.27 eV/atom

a b c (Å): 3.158 6.870 8.084
angles (deg): 95.23 90.00 90.00
Positions (direct):
1 Sc 0.250 0.632 0.133
2 Sc 0.750 0.368 0.867
3 Pa 0.250 0.152 0.175
4 Pa 0.750 0.848 0.825
5 Ta 0.250 0.145 0.581
6 Ta 0.750 0.855 0.419
7 N 0.750 0.868 0.137
8 N 0.250 0.132 0.863
9 N 0.250 0.830 0.594
10 N 0.750 0.170 0.406
11 N 0.750 0.398 0.130
12 N 0.250 0.602 0.870

12.
Material: ScPa2TaN6
Method: DFT, GGA-PBE
State: relaxed

N(E_F): 0.00 states/eV per cell
Magnetization: 0.0 Bohr magnetons per cell
SG: R3 (146)
Formation energy without anion corrections: -1.52 eV/atom

a b c (Å): 5.695 5.695 5.832
angles (deg): 60.77 60.77 60.00
Positions (direct):
1 Sc 0.806 0.806 0.582
2 Pa 0.526 0.526 0.422
3 Pa 0.029 0.029 0.913
4 Ta 0.307 0.307 0.078
5 N 0.597 0.191 0.251
6 N 0.191 0.962 0.251
7 N 0.962 0.597 0.251
8 N 0.434 0.689 0.756
9 N 0.689 0.122 0.756
10 N 0.122 0.434 0.756

13.
Material: ScPa2TaN5
Method: DFT, GGA-PBE
State: relaxed

N(E_F): 13.60 states/eV per cell
Magnetization: 0.0 Bohr magnetons per cell
SG: Cmc2_1 (36)
Formation energy without anion corrections: -1.49 eV/atom

a b c (Å): 3.357 6.879 10.314
angles (deg): 90.00 90.00 104.12
Positions (direct):
1 Sc 0.783 0.567 0.506
2 Sc 0.217 0.433 0.006
3 Pa 0.854 0.708 0.791
4 Pa 0.109 0.217 0.687
5 Pa 0.146 0.292 0.291
6 Pa 0.891 0.783 0.187
7 Ta 0.530 0.059 0.964
8 Ta 0.470 0.941 0.464
9 N 0.377 0.753 0.005
10 N 0.678 0.356 0.868
11 N 0.485 0.970 0.773
12 N 0.277 0.554 0.664
13 N 0.944 0.889 0.567
14 N 0.623 0.247 0.505
15 N 0.322 0.644 0.368
16 N 0.515 0.030 0.273
17 N 0.723 0.446 0.164
18 N 0.056 0.111 0.067

14.
Material: Tb2ScPaN4
Method: DFT, GGA-PBE
State: relaxed

N(E_F): 3.53 states/eV per cell
Magnetization: 0.0 Bohr magnetons per cell
SG: P2/m (10)
Formation energy without anion corrections: -1.71 eV/atom

a b c (Å): 3.454 5.944 5.886
angles (deg): 71.08 90.00 90.00
Positions (direct):
1 Tb 0.000 0.000 0.000
2 Tb 0.500 0.000 0.500
3 Sc 0.500 0.500 0.000
4 Pa 0.000 0.500 0.500
5 N 0.000 0.730 0.753
6 N 0.000 0.270 0.247
7 N 0.500 0.733 0.251
8 N 0.500 0.267 0.749

15.
Material: Tb3ScPa2N6
Method: DFT, GGA-PBE
State: relaxed

N(E_F): 5.40 states/eV per cell
Magnetization: 0.0 Bohr magnetons per cell
SG: C2/m (12)
Formation energy without anion corrections: -1.69 eV/atom

a b c (Å): 5.981 5.981 5.998
angles (deg): 99.52 99.52 120.02
Positions (direct):
1 Tb 0.165 0.835 0.500
2 Tb 0.835 0.165 0.500
3 Tb 0.500 0.500 0.500
4 Sc 0.000 0.000 0.000
5 Pa 0.333 0.667 0.000
6 Pa 0.667 0.333 0.000
7 N 0.923 0.588 0.770
8 N 0.745 0.745 0.234
9 N 0.077 0.412 0.230
10 N 0.588 0.923 0.770
11 N 0.255 0.255 0.766
12 N 0.412 0.077 0.230

16.
Material: TbScPa2N4
Method: DFT, GGA-PBE
State: relaxed

N(E_F): 7.81 states/eV per cell
Magnetization: 0.0 Bohr magnetons per cell
SG: Imma (74)
Formation energy without anion corrections: -1.66 eV/atom

a b c (Å): 6.871 6.871 6.895
angles (deg): 120.12 120.12 89.94
Positions (direct):
1 Tb 0.000 0.500 0.000
2 Tb 0.000 0.500 0.500
3 Sc 0.500 0.500 0.500
4 Sc 0.000 0.000 0.000
5 Pa 0.500 0.000 0.000
6 Pa 0.500 0.000 0.500
7 Pa 0.000 0.000 0.500
8 Pa 0.500 0.500 0.000
9 N 0.253 0.762 0.008
10 N 0.738 0.247 0.492
11 N 0.262 0.753 0.508
12 N 0.747 0.238 0.992
13 N 0.746 0.754 0.992
14 N 0.746 0.754 0.508
15 N 0.254 0.246 0.492
16 N 0.254 0.246 0.008

17.
Material: TbSc2PaN4
Method: DFT, GGA-PBE
State: relaxed

N(E_F): 3.13 states/eV per cell
Magnetization: 0.0 Bohr magnetons per cell
SG: P2/m (10)
Formation energy without anion corrections: -1.73 eV/atom

a b c (Å): 3.371 5.787 5.824
angles (deg): 70.76 90.00 90.00
Positions (direct):
1 Tb 0.500 0.500 0.000
2 Sc 0.000 0.000 0.000
3 Sc 0.500 0.000 0.500
4 Pa 0.000 0.500 0.500
5 N 0.000 0.759 0.734
6 N 0.000 0.241 0.266
7 N 0.500 0.764 0.251
8 N 0.500 0.236 0.749

18.
Material: Sc2PaTiN4
Method: DFT, GGA-PBE
State: relaxed

N(E_F): 4.14 states/eV per cell
Magnetization: 0.0 Bohr magnetons per cell
SG: P2/m (10)
Formation energy without anion corrections: -1.70 eV/atom

a b c (Å): 3.248 5.631 5.603
angles (deg): 71.21 90.00 90.00
Positions (direct):
1 Sc 0.000 0.000 0.000
2 Sc 0.500 0.000 0.500
3 Pa 0.000 0.500 0.500
4 Ti 0.500 0.500 0.000
5 N 0.000 0.743 0.760
6 N 0.000 0.257 0.240
7 N 0.500 0.757 0.235
8 N 0.500 0.243 0.765

19.
Material: ScPa2Ti3N6
Method: DFT, GGA-PBE
State: relaxed

N(E_F): 6.32 states/eV per cell
Magnetization: 0.0 Bohr magnetons per cell
SG: C2/m (12)
Formation energy without anion corrections: -1.63 eV/atom

a b c (Å): 3.199 6.462 7.222
angles (deg): 102.49 102.79 90.00
Positions (direct):
1 Sc 0.500 0.000 0.000
2 Pa 0.834 0.670 0.668
3 Pa 0.166 0.330 0.332
4 Ti 0.500 0.500 0.000
5 Ti 0.843 0.175 0.686
6 Ti 0.157 0.825 0.314
7 N 0.334 0.937 0.668
8 N 0.656 0.604 0.313
9 N 0.666 0.063 0.332
10 N 0.997 0.255 0.994
11 N 0.003 0.745 0.006
12 N 0.344 0.396 0.687

20.
Material: ScPaTi2N4
Method: DFT, GGA-PBE
State: relaxed

N(E_F): 3.59 states/eV per cell
Magnetization: 0.0 Bohr magnetons per cell
SG: P2/m (10)
Formation energy without anion corrections: -1.67 eV/atom

a b c (Å): 3.178 5.523 5.559
angles (deg): 70.73 90.00 90.00
Positions (direct):
1 Sc 0.500 0.500 0.000
2 Pa 0.000 0.500 0.500
3 Ti 0.000 0.000 0.000
4 Ti 0.500 0.000 0.500
5 N 0.000 0.766 0.749
6 N 0.000 0.234 0.251
7 N 0.500 0.775 0.231
8 N 0.500 0.225 0.769